Compound: Ba3Tl2CrO8
Source: Alexandria
Functional: GGA+U
Structure: relaxed

Properties
magnetization: 1.997 μB per formula unit
raw total energy: -5.723 eV/atom

Cell: 5.9107 5.9107 7.9144 Å, 90.00 90.00 120.00°
Atoms (fractional coordinates):
Tl 0.6667 0.3333 0.8022
Tl 0.3333 0.6667 0.1978
O 0.6667 0.3333 0.0595
O 0.8456 0.1544 0.6502
O 0.1544 0.3087 0.3498
O 0.3087 0.1544 0.6502
O 0.1544 0.8456 0.3498
O 0.8456 0.6913 0.6502
O 0.6913 0.8456 0.3498
O 0.3333 0.6667 0.9405
Ba 0.6667 0.3333 0.3744
Ba 0.0000 0.0000 0.0000
Ba 0.3333 0.6667 0.6256
Cr 0.0000 0.0000 0.5000